1.
PBE Ho6AlIr2, relaxed; E_form = -0.6007 eV/atom; calculated density = 10.247 g/cm³; space-group type = Immm, No. 71
1.0
-4.6526 4.6934 5.1983
4.6526 -4.6934 5.1983
4.6526 4.6934 -5.1983
Ho Al Ir
12 2 4
direct
0.0420 0.2398 0.8021
0.1799 0.2855 0.4654
0.1799 0.7145 0.8944
0.3324 0.0246 0.6922
0.3324 0.6402 0.3078
0.4377 0.2398 0.1979
0.5623 0.7602 0.8021
0.6676 0.3598 0.6922
0.6676 0.9754 0.3078
0.8201 0.2855 0.1056
0.8201 0.7145 0.5346
0.9580 0.7602 0.1979
0.0000 0.0000 0.0000
0.5000 0.5000 0.0000
0.1334 0.6334 0.5000
0.3227 0.0000 0.3227
0.6773 0.0000 0.6773
0.8666 0.3666 0.5000

***

2.
PBE PuHfFePt, relaxed; E_form = -0.3396 eV/atom; calculated density = 14.909 g/cm³; space-group type = F-43m, No. 216
1.0
0.0000 3.3472 3.3472
3.3472 0.0000 3.3472
3.3472 3.3472 0.0000
Pu Hf Fe Pt
1 1 1 1
direct
0.0000 0.0000 0.0000
0.5000 0.5000 0.5000
0.2500 0.2500 0.2500
0.7500 0.7500 0.7500

***

Computed spin magnetization, in the same sequence as the records: 0.0, 3.7 μB/cell.